Entry 1
CsUSe3 (PBE, relaxed); symmetry = No. 221; DOS at the Fermi energy = 3.74 states/eV/f.u.
1.0
5.508 0.000 0.000
0.000 5.508 0.000
0.000 0.000 5.508
U Se Cs
1 3 1
Direct
0.000 0.000 0.000
0.000 0.500 0.000
0.000 0.000 0.500
0.500 0.000 0.000
0.500 0.500 0.500

=====

Entry 2
CsUSe3 (PBE, relaxed); symmetry = No. 74; DOS at the Fermi energy = 4.56 states/eV/f.u.
1.0
5.461 0.000 0.000
0.000 5.547 0.000
-2.731 -2.774 11.993
Se Cs U
6 2 2
Direct
0.676 0.926 0.852
0.065 0.815 0.631
0.324 0.074 0.148
0.447 0.697 0.395
0.553 0.303 0.605
0.935 0.185 0.369
0.173 0.422 0.845
0.827 0.578 0.155
0.567 0.817 0.635
0.433 0.183 0.365

=====

Least stable of them? entry 2.